Entry 1:
This record from the Alexandria database describes crystalline NpV2Ru at its relaxed geometry. The functional is PBE.

The structure in POSCAR format:
```
NpV2Ru
1.0
4.418 0.000 0.000
2.209 3.826 0.000
2.209 1.275 3.607
Np Ru V
1 1 2
direct
0.000 0.000 0.000 Np
0.500 0.500 0.500 Ru
0.250 0.250 0.250 V
0.750 0.750 0.750 V
```

Values from the calculation:
The distance to the lowest polymorph of the same formula is 0.56 eV per formula unit. As for the formation energy from the elements: 0.199 eV/atom. Its crystal system is cubic. The value obtained for the spin magnetization is 2.549 Bohr magnetons per cell. The value obtained for the density of states at the Fermi level is 10.43 states/eV/f.u.

=====

Entry 2:
This record from the Alexandria database describes crystalline NpVRu5 at its relaxed geometry. The functional is PBE.

The structure in POSCAR format:
```
NpVRu5
1.0
4.129 0.000 0.000
0.000 4.129 0.000
0.000 0.000 6.465
V Np Ru
1 1 5
direct
0.500 0.500 0.000 V
0.000 0.000 0.500 Np
0.000 0.500 0.215 Ru
0.500 0.000 0.215 Ru
0.000 0.500 0.785 Ru
0.500 0.000 0.785 Ru
0.500 0.500 0.500 Ru
```

Values from the calculation:
As for the formation energy from the elements: 0.143 eV/atom. Its crystal system is tetragonal. The value obtained for the spin magnetization is 0.677 Bohr magnetons per cell. The value obtained for the density of states at the Fermi level is 8.16 states/eV/f.u.

=====

Entry 3:
This record from the Alexandria database describes crystalline NpV2Ru at its relaxed geometry. The functional is PBE.

The structure in POSCAR format:
```
NpV2Ru
1.0
4.594 0.000 0.000
0.000 3.749 0.000
0.000 0.000 3.749
V Np Ru
2 1 1
direct
0.000 0.000 0.500 V
0.000 0.500 0.000 V
0.500 0.500 0.500 Np
0.500 0.000 0.000 Ru
```

Values from the calculation:
The distance to the lowest polymorph of the same formula is 0.51 eV per formula unit. As for the formation energy from the elements: 0.186 eV/atom. Its crystal system is tetragonal. The value obtained for the spin magnetization is 3.295 Bohr magnetons per cell. The value obtained for the density of states at the Fermi level is 7.31 states/eV/f.u.

=====

Entry 4:
This record from the Alexandria database describes crystalline Np2VRu at its relaxed geometry. The functional is PBE.

The structure in POSCAR format:
```
Np2VRu
1.0
-0.083 0.904 -2.657
1.876 -0.944 -1.863
-5.487 -7.475 -3.855
Np V Ru
2 1 1
direct
0.415 0.415 0.754 Np
0.585 0.585 0.246 Np
0.500 0.500 0.500 V
0.000 0.000 0.000 Ru
```

Values from the calculation:
As for the formation energy from the elements: 0.434 eV/atom. Its crystal system is trigonal. The value obtained for the spin magnetization is 3.174 Bohr magnetons per cell. The value obtained for the density of states at the Fermi level is 7.42 states/eV/f.u.

=====

Entry 5:
This record from the Alexandria database describes crystalline NpV2Ru at its relaxed geometry. The functional is PBE.

The structure in POSCAR format:
```
NpV2Ru
1.0
-2.530 -0.938 0.896
0.471 -2.494 -1.282
3.203 -2.627 6.289
Np Ru V
1 1 2
direct
0.500 0.500 0.500 Np
0.500 0.500 0.000 Ru
0.000 0.000 0.215 V
0.000 0.000 0.785 V
```

Values from the calculation:
The distance to the lowest polymorph of the same formula is 0.00 eV per formula unit. As for the formation energy from the elements: 0.060 eV/atom. Its crystal system is tetragonal. The value obtained for the spin magnetization is 0.011 Bohr magnetons per cell. The value obtained for the density of states at the Fermi level is 6.29 states/eV/f.u.

=====

Entry 6:
This record from the Alexandria database describes crystalline NpRuW at its relaxed geometry. The functional is PBE.

The structure in POSCAR format:
```
NpRuW
1.0
-1.790 -1.093 -2.382
-1.977 -1.330 2.096
-3.804 10.025 0.373
Ru W Np
2 2 2
direct
0.060 0.060 0.121 Ru
0.940 0.940 0.879 Ru
0.376 0.376 0.752 W
0.624 0.624 0.248 W
0.222 0.222 0.445 Np
0.778 0.778 0.555 Np
```

Values from the calculation:
As for the formation energy from the elements: 0.375 eV/atom. Its crystal system is tetragonal. The value obtained for the spin magnetization is 0.000 Bohr magnetons per cell. The value obtained for the density of states at the Fermi level is 3.42 states/eV/f.u.

=====

Entry 7:
This record from the Alexandria database describes crystalline Y3Np2Ru4 at its relaxed geometry. The functional is PBE.

The structure in POSCAR format:
```
Y3Np2Ru4
1.0
4.219 0.000 0.000
-2.109 5.260 -1.254
0.000 0.466 8.832
Ru Np Y
4 2 3
direct
0.280 0.559 0.906 Ru
0.911 0.822 0.365 Ru
0.089 0.178 0.635 Ru
0.720 0.441 0.094 Ru
0.328 0.656 0.219 Np
0.672 0.344 0.781 Np
0.000 0.000 0.000 Y
0.375 0.750 0.613 Y
0.625 0.250 0.387 Y
```

Values from the calculation:
As for the formation energy from the elements: -0.285 eV/atom. Its crystal system is monoclinic. The value obtained for the spin magnetization is 5.128 Bohr magnetons per cell. The value obtained for the density of states at the Fermi level is 13.43 states/eV/f.u.

=====

Entry 8:
This record from the Alexandria database describes crystalline Y4NpRu4 at its relaxed geometry. The functional is PBE.

The structure in POSCAR format:
```
Y4NpRu4
1.0
5.801 0.000 0.000
0.000 8.539 0.000
0.000 0.000 8.539
Y Ru Np
8 8 2
direct
0.636 0.819 0.054 Y
0.364 0.319 0.554 Y
0.364 0.181 0.946 Y
0.864 0.446 0.819 Y
0.136 0.554 0.181 Y
0.864 0.054 0.681 Y
0.136 0.946 0.319 Y
0.636 0.681 0.446 Y
0.133 0.631 0.515 Ru
0.633 0.015 0.369 Ru
0.133 0.869 0.985 Ru
0.867 0.131 0.015 Ru
0.633 0.485 0.131 Ru
0.367 0.515 0.869 Ru
0.867 0.369 0.485 Ru
0.367 0.985 0.631 Ru
0.250 0.750 0.750 Np
0.750 0.250 0.250 Np
```

Values from the calculation:
As for the formation energy from the elements: -0.185 eV/atom. Its crystal system is tetragonal. The value obtained for the spin magnetization is 0.587 Bohr magnetons per cell. The value obtained for the density of states at the Fermi level is 7.86 states/eV/f.u.

=====

Entry 9:
This record from the Alexandria database describes crystalline Y2NpRu2 at its relaxed geometry. The functional is PBE.

The structure in POSCAR format:
```
Y2NpRu2
1.0
-1.515 -1.672 5.342
0.839 -5.509 1.603
6.891 0.749 3.570
Ru Y Np
4 4 2
direct
0.739 0.006 0.510 Ru
0.261 0.994 0.490 Ru
0.006 0.739 0.010 Ru
0.994 0.261 0.990 Ru
0.478 0.219 0.151 Y
0.522 0.781 0.849 Y
0.781 0.522 0.349 Y
0.219 0.478 0.651 Y
0.866 0.134 0.750 Np
0.134 0.866 0.250 Np
```

Values from the calculation:
As for the formation energy from the elements: -0.310 eV/atom. Its crystal system is monoclinic. The value obtained for the spin magnetization is 6.026 Bohr magnetons per cell. The value obtained for the density of states at the Fermi level is 6.75 states/eV/f.u.

=====

Entry 10:
This record from the Alexandria database describes crystalline NpZnRu3 at its relaxed geometry. The functional is PBE.

The structure in POSCAR format:
```
NpZnRu3
1.0
-3.131 3.098 -0.238
-1.124 -1.618 -6.285
-3.338 -3.003 4.819
Ru Zn Np
6 2 2
direct
0.250 0.399 0.200 Ru
0.750 0.200 0.800 Ru
0.750 0.601 0.800 Ru
0.250 0.800 0.200 Ru
0.750 0.200 0.399 Ru
0.250 0.800 0.601 Ru
0.000 0.000 0.000 Zn
0.500 0.000 0.000 Zn
0.250 0.333 0.667 Np
0.750 0.667 0.333 Np
```

Values from the calculation:
As for the formation energy from the elements: 0.276 eV/atom. Its crystal system is hexagonal. The value obtained for the spin magnetization is 2.159 Bohr magnetons per cell. The value obtained for the density of states at the Fermi level is 8.34 states/eV/f.u.

=====

Entry 11:
This record from the Alexandria database describes crystalline NpZn4Ru at its relaxed geometry. The functional is PBE.

The structure in POSCAR format:
```
NpZn4Ru
1.0
5.150 0.000 0.000
2.575 4.460 0.000
2.575 1.487 4.205
Ru Zn Np
1 4 1
direct
0.000 0.000 0.000 Ru
0.121 0.626 0.626 Zn
0.626 0.626 0.121 Zn
0.626 0.121 0.626 Zn
0.626 0.626 0.626 Zn
0.250 0.250 0.250 Np
```

Values from the calculation:
As for the formation energy from the elements: -0.006 eV/atom. Its crystal system is cubic. The value obtained for the spin magnetization is 3.246 Bohr magnetons per cell. The value obtained for the density of states at the Fermi level is 3.60 states/eV/f.u.

=====

Entry 12:
This record from the Alexandria database describes crystalline Zr2NpRu at its relaxed geometry. The functional is PBE.

The structure in POSCAR format:
```
Zr2NpRu
1.0
-2.235 -0.536 2.269
-0.812 -2.768 -1.453
5.277 -3.804 4.297
Np Zr Ru
1 2 1
direct
0.500 0.500 0.500 Np
0.000 0.000 0.213 Zr
0.000 0.000 0.787 Zr
0.500 0.500 0.000 Ru
```

Values from the calculation:
The distance to the lowest polymorph of the same formula is 0.00 eV per formula unit. As for the formation energy from the elements: -0.085 eV/atom. Its crystal system is tetragonal. The value obtained for the spin magnetization is 4.046 Bohr magnetons per cell. The value obtained for the density of states at the Fermi level is 6.62 states/eV/f.u.

=====

Entry 13:
This record from the Alexandria database describes crystalline Zr2NpRu at its relaxed geometry. The functional is PBE.

The structure in POSCAR format:
```
Zr2NpRu
1.0
-0.884 0.067 3.084
4.080 -2.527 1.224
2.455 4.258 0.611
Np Zr Ru
1 2 1
direct
0.500 0.500 0.500 Np
0.000 0.000 0.500 Zr
0.000 0.500 0.000 Zr
0.500 0.000 0.000 Ru
```

Values from the calculation:
The distance to the lowest polymorph of the same formula is 0.75 eV per formula unit. As for the formation energy from the elements: 0.103 eV/atom. Its crystal system is tetragonal. The value obtained for the spin magnetization is 4.004 Bohr magnetons per cell. The value obtained for the density of states at the Fermi level is 7.84 states/eV/f.u.

=====

Entry 14:
This record from the Alexandria database describes crystalline ZrNpRu2 at its relaxed geometry. The functional is PBE.

The structure in POSCAR format:
```
ZrNpRu2
1.0
-0.421 -0.290 3.201
-2.728 -1.675 -0.510
3.654 -5.934 -0.057
Zr Np Ru
1 1 2
direct
0.500 0.500 0.000 Zr
0.500 0.500 0.500 Np
0.000 0.000 0.241 Ru
0.000 0.000 0.759 Ru
```

Values from the calculation:
As for the formation energy from the elements: -0.266 eV/atom. Its crystal system is tetragonal. The value obtained for the spin magnetization is 3.079 Bohr magnetons per cell. The value obtained for the density of states at the Fermi level is 5.57 states/eV/f.u.

=====

Entry 15:
This record from the Alexandria database describes crystalline Zr2NpRu at its relaxed geometry. The functional is PBE.

The structure in POSCAR format:
```
Zr2NpRu
1.0
4.804 0.000 0.000
2.402 4.160 0.000
2.402 1.387 3.922
Zr Ru Np
2 1 1
direct
0.250 0.250 0.250 Zr
0.750 0.750 0.750 Zr
0.500 0.500 0.500 Ru
0.000 0.000 0.000 Np
```

Values from the calculation:
The distance to the lowest polymorph of the same formula is 1.09 eV per formula unit. As for the formation energy from the elements: 0.187 eV/atom. Its crystal system is cubic. The value obtained for the spin magnetization is 3.096 Bohr magnetons per cell. The value obtained for the density of states at the Fermi level is 13.18 states/eV/f.u.

=====

Entry 16:
This record from the Alexandria database describes crystalline NpS5 at its relaxed geometry. The functional is PBE.

The structure in POSCAR format:
```
NpS5
1.0
3.914 0.000 0.000
-1.957 6.880 0.000
0.000 0.000 12.986
S Np
10 2
direct
0.588 0.176 0.329 S
0.588 0.176 0.171 S
0.750 0.501 0.534 S
0.412 0.824 0.829 S
0.750 0.501 0.966 S
0.250 0.499 0.466 S
0.831 0.662 0.250 S
0.250 0.499 0.034 S
0.169 0.338 0.750 S
0.412 0.824 0.671 S
0.791 0.582 0.750 Np
0.209 0.418 0.250 Np
```

Values from the calculation:
Its crystal system is orthorhombic. The value obtained for the spin magnetization is 4.759 Bohr magnetons per cell. The value obtained for the density of states at the Fermi level is 7.07 states/eV/f.u. As for the energy relative to the elements, uncorrected: -0.484 eV/atom.

=====

Entry 17:
This record from the Alexandria database describes crystalline NpS2 at its relaxed geometry. The functional is PBE.

The structure in POSCAR format:
```
NpS2
1.0
4.016 0.000 0.000
-2.008 3.478 0.000
0.000 0.000 13.573
S Np
4 2
direct
0.333 0.667 0.401 S
0.667 0.333 0.599 S
0.667 0.333 0.901 S
0.333 0.667 0.099 S
0.000 0.000 0.000 Np
0.000 0.000 0.500 Np
```

Values from the calculation:
Its crystal system is hexagonal. The value obtained for the spin magnetization is 6.000 Bohr magnetons per cell. The value obtained for the density of states at the Fermi level is 8.70 states/eV/f.u. As for the energy relative to the elements, uncorrected: -1.247 eV/atom.

=====

Entry 18:
This record from the Alexandria database describes crystalline NpS2 at its relaxed geometry. The functional is PBE.

The structure in POSCAR format:
```
NpS2
1.0
-1.436 5.019 -0.385
-4.326 -1.611 -4.848
-5.204 -1.105 5.011
S Np
8 4
direct
0.250 0.124 0.094 S
0.250 0.876 0.594 S
0.750 0.876 0.906 S
0.750 0.124 0.406 S
0.000 0.437 0.750 S
0.500 0.563 0.250 S
0.000 0.563 0.250 S
0.500 0.437 0.750 S
0.250 0.750 0.950 Np
0.250 0.250 0.450 Np
0.750 0.750 0.550 Np
0.750 0.250 0.050 Np
```

Values from the calculation:
Its crystal system is orthorhombic. The value obtained for the spin magnetization is 14.403 Bohr magnetons per cell. The value obtained for the density of states at the Fermi level is 9.18 states/eV/f.u. As for the energy relative to the elements, uncorrected: -1.292 eV/atom.

=====

Entry 19:
This record from the Alexandria database describes crystalline NpS2 at its relaxed geometry. The functional is PBE.

The structure in POSCAR format:
```
NpS2
1.0
-2.351 2.294 -1.391
-0.681 -2.299 -2.641
-1.654 -1.800 4.403
S Np
2 1
direct
0.845 0.845 0.690 S
0.155 0.155 0.310 S
0.500 0.500 0.000 Np
```

Values from the calculation:
Its crystal system is tetragonal. The value obtained for the spin magnetization is 3.115 Bohr magnetons per cell. The value obtained for the density of states at the Fermi level is 6.45 states/eV/f.u. As for the energy relative to the elements, uncorrected: -1.117 eV/atom.

=====

Entry 20:
This record from the Alexandria database describes crystalline NpS8 at its relaxed geometry. The functional is PBE.

The structure in POSCAR format:
```
NpS8
1.0
-2.772 -5.759 -1.454
6.457 -1.096 0.278
-2.833 2.044 5.547
S Np
8 1
direct
0.583 0.291 0.291 S
0.000 0.291 0.709 S
0.680 0.000 0.680 S
0.320 0.000 0.320 S
0.320 0.320 0.000 S
0.680 0.680 0.000 S
0.000 0.709 0.291 S
0.417 0.709 0.709 S
0.000 0.000 0.000 Np
```

Values from the calculation:
Its crystal system is tetragonal. The value obtained for the spin magnetization is 2.102 Bohr magnetons per cell. The value obtained for the density of states at the Fermi level is 6.69 states/eV/f.u. As for the energy relative to the elements, uncorrected: 0.246 eV/atom.